# 1
A geometry-optimized P3HI structure. Source: Alexandria, functional PBE.

extended XYZ file:
```
5
Lattice="-1.5747 3.4080 2.0316 -0.2359 -2.2623 3.6122 3.9606 1.2203 1.0229" Properties=species:S:1:pos:R:3 pbc="T T T"
P -0.1179 -1.1312 1.8061
P -0.7874 1.7040 1.0158
I 1.0750 1.1830 3.3334
P 1.9803 0.6101 0.5114
H 0.0000 0.0000 0.0000
```

## Properties
energy above the lowest structure with this stoichiometry = 0 meV per atom
calculated total energy = -3.02 eV/atom

# 2
A geometry-optimized RbAlSb structure. Source: Alexandria, functional PBE.

extended XYZ file:
```
6
Lattice="4.4537 -0.0287 -0.2699 2.2662 3.8398 0.1097 0.7744 2.2871 14.5875" Properties=species:S:1:pos:R:3 pbc="T T T"
Rb 2.0282 0.9494 0.6323
Al 4.8095 2.1497 11.5651
Rb 2.2279 3.8142 5.6964
Sb 4.6161 4.9258 8.1315
Al 4.6467 2.2955 8.9132
Sb 4.8926 4.6592 12.6730
```

## Properties
energy above the lowest structure with this stoichiometry = 65 meV per atom
calculated total energy = -3.12 eV/atom

# 3
A geometry-optimized BaH3Pd structure. Source: Alexandria, functional PBE.

extended XYZ file:
```
10
Lattice="-5.6147 -0.2273 -0.6224 2.9828 -4.8794 0.4936 -0.4154 -3.0439 4.7476" Properties=species:S:1:pos:R:3 pbc="T T T"
H -1.5795 -6.4591 3.8790
H 1.7403 -4.6581 1.6077
Pd 0.0802 -5.5587 2.7434
H -2.7398 -2.1562 1.3167
H 1.5042 -6.3304 4.2138
H -1.3435 -4.7867 1.2727
Ba -2.9185 -3.9366 3.5278
Ba 0.0963 -2.3011 1.4654
H -0.0823 -4.0816 3.6763
Pd -2.5193 -4.1503 0.0583
```

## Properties
calculated total energy = -3.92 eV/atom